1.
Below is Li4MgNi3O8 after structural relaxation, with properties calculated at the PBEsol level.

* E: -5.93 eV per atom
* ΔE_f (raw): -1.548 eV per atom
* SG: No. 13

```
Li4MgNi3O8
1.0
5.7097 0.0000 0.0000
0.0000 5.7091 0.0000
-5.6886 0.0000 8.1235
Li Mg Ni O
8 2 6 16
direct
0.0000 0.0000 0.0000
0.0000 0.0000 0.5000
0.0000 0.2482 0.2500
0.0000 0.2504 0.7500
0.0000 0.5000 0.0000
0.0000 0.5000 0.5000
0.0000 0.7496 0.2500
0.0000 0.7518 0.7500
0.5000 0.2512 0.2500
0.5000 0.7488 0.7500
0.5000 0.0000 0.0000
0.5000 0.0000 0.5000
0.5000 0.2488 0.7500
0.5000 0.5000 0.0000
0.5000 0.5000 0.5000
0.5000 0.7512 0.2500
0.2605 0.2330 0.4988
0.2605 0.7670 0.9988
0.2801 0.2509 0.0010
0.2801 0.7491 0.5010
0.2816 0.4838 0.7652
0.2816 0.5162 0.2652
0.2826 0.0136 0.7673
0.2826 0.9864 0.2673
0.7174 0.0136 0.7327
0.7174 0.9864 0.2327
0.7184 0.4838 0.7348
0.7184 0.5162 0.2348
0.7199 0.2509 0.4990
0.7199 0.7491 0.9990
0.7395 0.2330 0.0012
0.7395 0.7670 0.5012
```

***

2.
Below is Li3Cu2O4 after structural relaxation, with properties calculated at the PBEsol level.

* E: -5.23 eV per atom
* ΔE_f (raw): -1.279 eV per atom
* SG: No. 12
* offset from the most stable computed form: 0.000 eV per atom

```
Li3Cu2O4
1.0
4.9405 -1.3815 0.0000
4.9405 1.3815 0.0000
-3.3378 0.0000 6.3162
Li Cu O
3 2 4
direct
0.0000 0.0000 0.0000
0.3628 0.3628 0.6257
0.6372 0.6372 0.3743
0.1608 0.1608 0.7711
0.8392 0.8392 0.2289
0.2526 0.2526 0.3175
0.4343 0.4343 0.1553
0.5657 0.5657 0.8447
0.7474 0.7474 0.6825
```

***

3.
Below is SiSbTe2Pt after structural relaxation, with properties calculated at the PBEsol level.

* E: -3.92 eV per atom
* ΔE_f (raw): 0.942 eV per atom
* SG: No. 123

```
SiSbTe2Pt
1.0
5.0394 0.0000 0.0000
0.0000 5.0394 0.0000
0.0000 0.0000 5.0028
Si Sb Te Pt
1 1 2 1
direct
0.0000 0.0000 0.0000
0.0000 0.0000 0.5000
0.0000 0.5000 0.0000
0.5000 0.0000 0.0000
0.5000 0.5000 0.5000
```

***

4.
Below is K2TaTl after structural relaxation, with properties calculated at the PBEsol level.

* E: -3.61 eV per atom
* SG: No. 25
* formation enthalpy at 0 K: 0.756 eV/atom
* offset from the most stable computed form: 0.000 eV per atom

```
K2TaTl
1.0
3.1110 0.0000 0.0000
0.0000 4.4652 0.0000
0.0000 0.0000 10.3059
K Ta Tl
2 1 1
direct
0.0000 0.0000 0.0000
0.5000 0.5000 0.3954
0.0000 0.0000 0.6598
0.5000 0.5000 0.7472
```

***

5.
Below is Li5TiN3 after structural relaxation, with properties calculated at the PBEsol level.

* E: -5.80 eV per atom
* ΔE_f (raw): -0.940 eV per atom
* SG: No. 1

```
Li5TiN3
1.0
8.3526 0.0000 0.0000
-2.7741 7.8805 0.0000
-2.7738 -3.9292 20.4868
Li Ti N
80 16 48
direct
0.0000 0.0000 0.0000
0.0007 0.2316 0.7497
0.0218 0.9874 0.5080
0.0234 0.4575 0.4986
0.0244 0.2426 0.2394
0.0328 0.7537 0.7631
0.0386 0.7761 0.2474
0.0446 0.4937 0.0043
0.0798 0.3065 0.4179
0.0889 0.0553 0.1693
0.0965 0.0984 0.6606
0.1262 0.8403 0.4263
0.1656 0.6133 0.8263
0.1694 0.6590 0.3340
0.1718 0.3627 0.5755
0.1761 0.1207 0.8190
0.1836 0.3624 0.0797
0.1889 0.8998 0.5900
0.2345 0.9673 0.7298
0.2444 0.2283 0.4891
0.2607 0.7338 0.5003
0.2684 0.4839 0.2573
0.2736 0.1920 0.0043
0.2802 0.4550 0.7598
0.2881 0.9862 0.2339
0.3063 0.7313 0.9929
0.3294 0.5584 0.4148
0.3454 0.3074 0.1729
0.3446 0.3454 0.6672
0.3572 0.5717 0.9046
0.3679 0.0771 0.4268
0.3726 0.1039 0.9149
0.3859 0.8142 0.1682
0.3930 0.8442 0.6722
0.4047 0.6405 0.0815
0.4371 0.3788 0.8443
0.4547 0.1734 0.0888
0.4550 0.4289 0.3344
0.5048 0.6929 0.2435
0.5182 0.9676 0.4950
0.5193 0.4632 0.4856
0.5254 0.2317 0.2574
0.5294 0.6948 0.7429
0.5377 0.0156 0.0040
0.5709 0.5502 0.1523
0.5867 0.2956 0.4068
0.5941 0.0700 0.1650
0.6002 0.8153 0.9253
0.6013 0.7940 0.4231
0.6211 0.5153 0.6670
0.6358 0.0598 0.6606
0.6402 0.3072 0.9184
0.6622 0.8855 0.0774
0.6767 0.6387 0.8407
0.6804 0.6850 0.3346
0.6922 0.9132 0.5738
0.7011 0.4000 0.0877
0.7154 0.4142 0.5707
0.7168 0.1502 0.8355
0.7260 0.1725 0.3415
0.7465 0.9776 0.7485
0.7639 0.7269 0.5043
0.7664 0.2242 0.4884
0.7733 0.7535 0.9980
0.7929 0.5050 0.7581
0.7963 0.2372 0.0056
0.8225 0.0466 0.9198
0.8375 0.3207 0.6658
0.8388 0.7866 0.1516
0.8397 0.2882 0.1604
0.8538 0.0391 0.4223
0.8536 0.5593 0.9217
0.9030 0.9010 0.8281
0.9046 0.6268 0.0670
0.9166 0.1649 0.5765
0.9224 0.1214 0.0847
0.9261 0.4024 0.8342
0.9501 0.8749 0.3413
0.9543 0.6500 0.5662
0.9689 0.3935 0.3282
0.1010 0.5634 0.1615
0.1071 0.3010 0.9143
0.1068 0.8255 0.9130
0.1193 0.5729 0.6680
0.1920 0.8949 0.0795
0.1970 0.1496 0.3296
0.4299 0.8909 0.8256
0.4442 0.1599 0.5813
0.4467 0.6357 0.5826
0.4481 0.9027 0.3325
0.5189 0.4751 0.9967
0.5263 0.2281 0.7465
0.7759 0.4946 0.2471
0.7776 0.9710 0.2488
0.8599 0.5676 0.4134
0.8598 0.8105 0.6626
0.0085 0.4930 0.2416
0.0098 0.2195 0.4973
0.0477 0.7509 0.9944
0.0885 0.5698 0.4152
0.1026 0.0580 0.9119
0.1028 0.3471 0.6689
0.1103 0.8024 0.1568
0.1756 0.3764 0.8377
0.1892 0.1202 0.0859
0.2136 0.9193 0.3312
0.2152 0.6461 0.5918
0.2705 0.2284 0.2552
0.2727 0.4624 0.9904
0.2745 0.7293 0.7474
0.2902 0.9994 0.5100
0.3248 0.5534 0.1645
0.3367 0.8201 0.9028
0.3395 0.3029 0.4048
0.3756 0.0866 0.6637
0.4189 0.9017 0.0827
0.4334 0.6724 0.3336
0.4411 0.1267 0.8220
0.4458 0.4003 0.5807
0.5073 0.7135 0.5076
0.5273 0.4550 0.7512
0.5287 0.2529 0.9999
0.5450 0.9757 0.2544
0.5938 0.0455 0.4081
0.6007 0.5514 0.9218
0.6145 0.7950 0.6584
0.6201 0.3347 0.1769
0.6514 0.8865 0.8293
0.6633 0.6291 0.0734
0.6664 0.1549 0.5794
0.7126 0.4202 0.3279
0.7530 0.2339 0.7484
0.7621 0.9849 0.0019
0.7736 0.7318 0.2472
0.7767 0.4826 0.4869
0.8392 0.0455 0.1736
0.8579 0.7947 0.4188
0.8870 0.3130 0.9172
0.8866 0.5837 0.6657
0.9355 0.8925 0.5899
0.9492 0.1313 0.3225
0.9495 0.6691 0.8421
0.9546 0.4095 0.0884
0.9965 0.9693 0.7385
```

***

6.
Below is HfNbCuRu2 after structural relaxation, with properties calculated at the PBEsol level.

* E: -7.60 eV per atom
* SG: No. 123
* formation enthalpy at 0 K: 1.597 eV/atom

```
HfNbCuRu2
1.0
4.5940 0.0000 0.0000
0.0000 4.5940 0.0000
0.0000 0.0000 4.9321
Hf Nb Cu Ru
1 1 1 2
direct
0.0000 0.0000 0.0000
0.0000 0.0000 0.5000
0.5000 0.5000 0.0000
0.0000 0.5000 0.5000
0.5000 0.0000 0.5000
```